Below is a relaxed structure of CoP2NCl, with properties calculated at the PBE level.

Lattice parameters (Å, degrees): 3.952 3.952 4.387 90.00 90.00 90.00
Space group P4/mmm (No. 123)
Asymmetric unit:
Co1 0.000 0.000 0.000 (multiplicity 1)
P1 0.000 0.500 0.500 (multiplicity 2)
N1 0.500 0.500 0.500 (multiplicity 1)
Cl1 0.500 0.500 0.000 (multiplicity 1)

Properties
Uncorrected formation energy = 1.241 eV per atom
Energy relative to the lowest polymorph listed for this composition = 0.00 eV/f.u.